PBE with a Hubbard U CoGe2PbO6, optimized geometry; DFT total energy = -6.1739 eV per atom; total moment = 3.02 μB per formula unit; ρ = 5.5 g cm⁻³
1.0
-0.845 2.909 4.974
3.672 -4.001 5.128
5.727 4.782 0.341
O Co Ge Pb
12 2 4 2
direct
0.604 0.185 0.621
0.199 0.995 0.749
0.896 0.379 0.815
0.104 0.621 0.185
0.396 0.815 0.379
0.801 0.005 0.251
0.660 0.700 0.624
0.340 0.300 0.376
0.160 0.624 0.700
0.840 0.376 0.300
0.699 0.749 0.995
0.301 0.251 0.005
0.250 0.270 0.730
0.750 0.730 0.270
0.839 0.620 0.793
0.661 0.207 0.380
0.161 0.380 0.207
0.339 0.793 0.620
0.250 0.887 0.113
0.750 0.113 0.887